This record from the Alexandria database describes a relaxed structure of ErTm2Co. The functional is GGA-PBE.

abc: 3.638 6.198 9.120
angles: 90.00 90.00 107.08
Fractional positions:
1 Tm 0.641 0.282 0.071
2 Tm 0.359 0.718 0.929
3 Er 0.083 0.165 0.750
4 Tm 0.641 0.282 0.429
5 Co 0.750 0.500 0.750
6 Co 0.250 0.500 0.250
7 Er 0.917 0.835 0.250
8 Tm 0.359 0.718 0.571

Calculated values
The value obtained for the formation energy is -0.684 eV/f.u. The volume is 196.59 Å³/cell.

---

This record from the Alexandria database describes a relaxed structure of ErTm3Co. The functional is GGA-PBE.

abc: 5.191 5.191 5.191
angles: 90.00 90.00 90.00
Fractional positions:
1 Co 0.000 0.000 0.000
2 Er 0.500 0.500 0.500
3 Tm 0.500 0.000 0.000
4 Tm 0.000 0.500 0.000
5 Tm 0.000 0.000 0.500

Calculated values
The value obtained for the formation energy is -0.145 eV/f.u. The volume is 139.92 Å³/cell.

---

This record from the Alexandria database describes a relaxed structure of ErTm4Co2. The functional is GGA-PBE.

abc: 6.213 7.723 7.507
angles: 113.01 90.00 90.00
Fractional positions:
1 Co 0.750 0.373 0.410
2 Co 0.750 0.731 0.015
3 Tm 0.250 0.981 0.623
4 Tm 0.501 0.414 0.759
5 Tm 0.750 0.749 0.674
6 Er 0.750 0.166 0.026
7 Er 0.250 0.834 0.974
8 Tm 0.250 0.251 0.326
9 Tm 0.750 0.019 0.377
10 Tm 0.499 0.586 0.241
11 Co 0.250 0.627 0.590
12 Tm 0.001 0.586 0.241
13 Co 0.250 0.269 0.985
14 Tm 0.999 0.414 0.759

Calculated values
The value obtained for the formation energy is -0.678 eV/f.u. The volume is 331.54 Å³/cell.

---

This record from the Alexandria database describes a relaxed structure of Er3TmCo2. The functional is GGA-PBE.

abc: 3.721 8.299 9.818
angles: 77.09 79.08 77.05
Fractional positions:
1 Co 0.232 0.084 0.452
2 Tm 0.840 0.574 0.746
3 Co 0.232 0.584 0.952
4 Er 0.584 0.273 0.560
5 Tm 0.160 0.426 0.254
6 Er 0.160 0.926 0.754
7 Er 0.840 0.074 0.246
8 Er 0.584 0.771 0.061
9 Co 0.768 0.416 0.048
10 Er 0.416 0.229 0.939
11 Er 0.416 0.727 0.440
12 Co 0.768 0.916 0.548

Calculated values
The value obtained for the formation energy is -1.128 eV/f.u. The volume is 284.88 Å³/cell.

---

Total energy (computed, eV per formula unit): -21.3 -25.2 -37.3 -33.5